--- one ---
DFT (PBE-GGA) results for a relaxed HoPaNi2 crystal.

Results
M_tot, μB per formula unit: 0.00
D(E_F), states/eV per cell: 13.51
Mass density, g/cm3: 10.78

a b c (Å): 4.5375 4.5375 13.3010
angles (deg): 90.00 90.00 120.00
Space group R-3m (No. 166, hexagonal axes)
Asymmetric unit:
Ho 0.0000 0.0000 0.0000 x3
Pa 0.0000 0.0000 0.5000 x3
Ni 0.0000 0.0000 0.2159 x6


--- two ---
DFT (PBE-GGA) results for a relaxed HoPaNi2 crystal.

Results
M_tot, μB per formula unit: 0.00
D(E_F), states/eV per cell: 4.59
Mass density, g/cm3: 10.96

a b c (Å): 3.400 3.400 6.728
angles (deg): 90.00 90.00 90.00
Space group P4/mmm (No. 123)
Asymmetric unit:
Ho 0.000 0.000 0.000 x1
Pa 0.000 0.000 0.500 x1
Ni 0.500 0.500 0.290 x2


--- three ---
DFT (PBE-GGA) results for a relaxed HoPaNi2 crystal.

Results
M_tot, μB per formula unit: 0.00
D(E_F), states/eV per cell: 8.81
Mass density, g/cm3: 11.51

a b c (Å): 6.142 4.292 6.162
angles (deg): 90.00 114.24 90.00
Space group P2_1/m (No. 11)
Asymmetric unit:
Ho 0.114 0.250 0.383 x2
Pa 0.403 0.750 0.100 x2
Ni 0.098 0.250 0.931 x2
Ni 0.429 0.750 0.596 x2


Q: Which of them is the most stable? A: three.


--- one ---
DFT (PBE-GGA) results for a relaxed Ho4NiPb2 crystal.

Results
M_tot, μB per formula unit: 0.00
D(E_F), states/eV per cell: 8.54
Mass density, g/cm3: 9.77

a b c (Å): 6.484 6.707 9.178
angles (deg): 90.00 105.23 90.00
Space group P2_1/m (No. 11)
Asymmetric unit:
Ho 0.186 0.250 0.094 x2
Ho 0.261 0.750 0.379 x2
Ho 0.294 0.501 0.751 x4
Ni 0.459 0.250 0.362 x2
Pb 0.112 0.250 0.445 x2
Pb 0.320 0.750 0.050 x2


--- two ---
DFT (PBE-GGA) results for a relaxed Ho4NiPb2 crystal.

Results
M_tot, μB per formula unit: 0.00
D(E_F), states/eV per cell: 10.42
Mass density, g/cm3: 9.34

a b c (Å): 4.938 4.938 16.519
angles (deg): 90.00 90.00 90.00
Space group I4/mmm (No. 139)
Asymmetric unit:
Ho 0.000 0.000 0.173 x4
Ho 0.000 0.500 0.000 x4
Ni 0.000 0.000 0.000 x2
Pb 0.000 0.000 0.361 x4


Q: Which of them is the most stable? A: one.